# Rh3CF

A relaxed structure of Rh3CF (PBE, Alexandria).

Geometry as POSCAR:
```
Rh3CF
1.0
4.042 0.000 0.000
0.000 4.042 0.000
0.000 0.000 4.042
Rh C F
3 1 1
direct
0.000 0.000 0.500 Rh
0.000 0.500 0.000 Rh
0.500 0.000 0.000 Rh
0.000 0.000 0.000 C
0.500 0.500 0.500 F
```

Results
formation energy from raw total energies	0.328	eV per atom
DOS at the Fermi energy	4.7	states/eV/cell
symmetry	Pm-3m (221)

# TiGaNi

A relaxed structure of TiGaNi (PBE, Alexandria).

Geometry as POSCAR:
```
TiGaNi
1.0
0.000 2.865 2.865
2.865 0.000 2.865
2.865 2.865 0.000
Ti Ga Ni
1 1 1
direct
0.000 0.000 0.000 Ti
0.500 0.500 0.500 Ga
0.750 0.750 0.750 Ni
```

Results
DOS at the Fermi energy	4.4	states/eV/cell
symmetry	F-43m (216)
ΔH_f (0 K)	-0.379	eV/atom

# Tl3In4Hg4

A relaxed structure of Tl3In4Hg4 (PBE, Alexandria).

Geometry as POSCAR:
```
Tl3In4Hg4
1.0
-4.477 4.477 4.477
4.477 -4.477 4.477
4.477 4.477 -4.477
Tl In Hg
3 4 4
direct
0.000 0.500 0.500 Tl
0.500 0.000 0.500 Tl
0.500 0.500 0.000 Tl
0.000 0.000 0.737 In
0.000 0.737 0.000 In
0.263 0.263 0.263 In
0.737 0.000 0.000 In
0.000 0.000 0.380 Hg
0.000 0.380 0.000 Hg
0.380 0.000 0.000 Hg
0.620 0.620 0.620 Hg
```

Results
DOS at the Fermi energy	6.0	states/eV/cell
symmetry	I-43m (217)
ΔH_f (0 K)	0.095	eV/atom

# ScTe2IN

A relaxed structure of ScTe2IN (PBE, Alexandria).

Geometry as POSCAR:
```
ScTe2IN
1.0
5.589 0.000 0.000
0.000 5.589 0.000
0.000 0.000 5.795
Sc Te I N
1 2 1 1
direct
0.000 0.000 0.000 Sc
0.000 0.500 0.000 Te
0.500 0.000 0.000 Te
0.000 0.000 0.500 I
0.500 0.500 0.500 N
```

Results
formation energy from raw total energies	0.648	eV per atom
DOS at the Fermi energy	5.3	states/eV/cell
symmetry	P4/mmm (123)

# Mn2NbGeS

A relaxed structure of Mn2NbGeS (PBE, Alexandria).

Geometry as POSCAR:
```
Mn2NbGeS
1.0
4.931 0.000 0.000
0.000 4.931 0.000
0.000 0.000 4.603
Mn Nb Ge S
2 1 1 1
direct
0.000 0.500 0.000 Mn
0.500 0.000 0.000 Mn
0.000 0.000 0.000 Nb
0.500 0.500 0.500 Ge
0.000 0.000 0.500 S
```

Results
formation energy from raw total energies	0.891	eV per atom
DOS at the Fermi energy	3.9	states/eV/cell
symmetry	P4/mmm (123)

# KLi2ScF6

A relaxed structure of KLi2ScF6 (PBE, Alexandria).

Geometry as POSCAR:
```
KLi2ScF6
1.0
5.688 0.000 0.000
-2.843 4.928 0.000
-0.012 -3.277 5.092
K Li Sc F
1 2 1 6
direct
0.000 0.000 0.000 K
0.277 0.552 0.829 Li
0.724 0.449 0.172 Li
0.500 0.000 0.500 Sc
0.106 0.776 0.260 F
0.330 0.845 0.739 F
0.483 0.590 0.258 F
0.517 0.409 0.740 F
0.670 0.155 0.260 F
0.894 0.222 0.738 F
```

Results
formation energy from raw total energies	-3.325	eV per atom
DOS at the Fermi energy	0.0	states/eV/cell
symmetry	P1 (1)

# Tb2Pm3Ho6Sc

A relaxed structure of Tb2Pm3Ho6Sc (PBE, Alexandria).

Geometry as POSCAR:
```
Tb2Pm3Ho6Sc
1.0
3.068 -5.312 0.000
3.068 5.312 0.000
-2.039 0.000 11.541
Tb Pm Ho Sc
2 3 6 1
direct
0.166 0.834 0.000 Tb
0.834 0.166 0.000 Tb
0.000 0.000 0.500 Pm
0.334 0.666 0.500 Pm
0.666 0.334 0.500 Pm
0.088 0.419 0.755 Ho
0.251 0.251 0.245 Ho
0.419 0.088 0.755 Ho
0.581 0.912 0.245 Ho
0.749 0.749 0.755 Ho
0.912 0.581 0.245 Ho
0.500 0.500 0.000 Sc
```

Results
DOS at the Fermi energy	16.1	states/eV/cell
symmetry	C2/m (12)
ΔH_f (0 K)	0.027	eV/atom

# PrMg12

A relaxed structure of PrMg12 (PBE, Alexandria).

Geometry as POSCAR:
```
PrMg12
1.0
-5.117 5.117 3.008
5.117 -5.117 3.008
5.117 5.117 -3.008
Pr Mg
1 12
direct
0.000 0.000 0.000 Pr
0.000 0.000 0.500 Mg
0.000 0.350 0.350 Mg
0.000 0.500 0.000 Mg
0.000 0.650 0.650 Mg
0.287 0.500 0.787 Mg
0.350 0.000 0.350 Mg
0.500 0.000 0.000 Mg
0.500 0.287 0.787 Mg
0.500 0.500 0.500 Mg
0.500 0.713 0.213 Mg
0.650 0.000 0.650 Mg
0.713 0.500 0.213 Mg
```

Results
DOS at the Fermi energy	6.9	states/eV/cell
symmetry	I4/mmm (139)
ΔH_f (0 K)	-0.047	eV/atom

# HoZr2Zn2

A relaxed structure of HoZr2Zn2 (PBE, Alexandria).

Geometry as POSCAR:
```
HoZr2Zn2
1.0
1.681 -12.695 0.000
1.681 12.695 0.000
0.000 0.000 4.903
Ho Zr Zn
2 4 4
direct
0.147 0.853 0.750 Ho
0.853 0.147 0.250 Ho
0.045 0.955 0.250 Zr
0.234 0.766 0.250 Zr
0.766 0.234 0.750 Zr
0.955 0.045 0.750 Zr
0.364 0.636 0.750 Zn
0.452 0.548 0.250 Zn
0.548 0.452 0.750 Zn
0.636 0.364 0.250 Zn
```

Results
DOS at the Fermi energy	6.5	states/eV/cell
symmetry	Cmcm (63)
ΔH_f (0 K)	-0.219	eV/atom

# Th2NpCrN5

A relaxed structure of Th2NpCrN5 (PBE, Alexandria).

Geometry as POSCAR:
```
Th2NpCrN5
1.0
6.706 0.000 0.000
0.000 6.706 0.000
0.000 0.000 5.740
Th Np Cr N
4 2 2 10
direct
0.169 0.331 0.000 Th
0.331 0.831 0.000 Th
0.669 0.169 0.000 Th
0.831 0.669 0.000 Th
0.000 0.000 0.500 Np
0.500 0.500 0.500 Np
0.000 0.500 0.500 Cr
0.500 0.000 0.500 Cr
0.000 0.000 0.000 N
0.143 0.643 0.276 N
0.143 0.643 0.724 N
0.357 0.143 0.276 N
0.357 0.143 0.724 N
0.500 0.500 0.000 N
0.643 0.857 0.276 N
0.643 0.857 0.724 N
0.857 0.357 0.276 N
0.857 0.357 0.724 N
```

Results
formation energy from raw total energies	-0.906	eV per atom
DOS at the Fermi energy	24.0	states/eV/cell
symmetry	P4/mbm (127)

# FeHRh2W

A relaxed structure of FeHRh2W (PBE, Alexandria).

Geometry as POSCAR:
```
FeHRh2W
1.0
3.789 0.000 0.000
0.000 3.789 0.000
0.000 0.000 3.990
Fe H Rh W
1 1 2 1
direct
0.000 0.000 0.000 Fe
0.500 0.500 0.500 H
0.000 0.500 0.500 Rh
0.500 0.000 0.500 Rh
0.500 0.500 0.000 W
```

Results
E_tot	-39.146	eV/f.u.
DOS at the Fermi energy	3.7	states/eV/cell
symmetry	P4/mmm (123)

# RbNp3Tl4O12

A relaxed structure of RbNp3Tl4O12 (PBE, Alexandria).

Geometry as POSCAR:
```
RbNp3Tl4O12
1.0
-4.458 4.458 4.458
4.458 -4.458 4.458
4.458 4.458 -4.458
Rb Np Tl O
1 3 4 12
direct
0.000 0.000 0.000 Rb
0.000 0.500 0.500 Np
0.500 0.000 0.500 Np
0.500 0.500 0.000 Np
0.000 0.000 0.500 Tl
0.000 0.500 0.000 Tl
0.500 0.000 0.000 Tl
0.500 0.500 0.500 Tl
0.000 0.292 0.292 O
0.000 0.708 0.708 O
0.250 0.500 0.750 O
0.250 0.750 0.500 O
0.292 0.000 0.292 O
0.292 0.292 0.000 O
0.500 0.250 0.750 O
0.500 0.750 0.250 O
0.708 0.000 0.708 O
0.708 0.708 0.000 O
0.750 0.250 0.500 O
0.750 0.500 0.250 O
```

Results
formation energy from raw total energies	-2.071	eV per atom
DOS at the Fermi energy	11.6	states/eV/cell
symmetry	Im-3m (229)

# Pa2Ga3CuPt4

A relaxed structure of Pa2Ga3CuPt4 (PBE, Alexandria).

Geometry as POSCAR:
```
Pa2Ga3CuPt4
1.0
4.010 0.000 0.000
0.000 4.010 0.000
0.000 0.000 11.419
Pa Ga Cu Pt
2 3 1 4
direct
0.000 0.500 0.245 Pa
0.500 0.000 0.755 Pa
0.000 0.000 0.000 Ga
0.000 0.500 0.632 Ga
0.500 0.000 0.368 Ga
0.500 0.500 0.000 Cu
0.000 0.000 0.500 Pt
0.000 0.500 0.848 Pt
0.500 0.000 0.152 Pt
0.500 0.500 0.500 Pt
```

Results
DOS at the Fermi energy	8.3	states/eV/cell
symmetry	P-4m2 (115)
ΔH_f (0 K)	-0.707	eV/atom

# Y2ScInP

A relaxed structure of Y2ScInP (PBE, Alexandria).

Geometry as POSCAR:
```
Y2ScInP
1.0
5.244 0.000 0.000
0.000 5.244 0.000
0.000 0.000 4.927
Y Sc In P
2 1 1 1
direct
0.000 0.500 0.000 Y
0.500 0.000 0.000 Y
0.000 0.000 0.500 Sc
0.500 0.500 0.500 In
0.000 0.000 0.000 P
```

Results
DOS at the Fermi energy	2.5	states/eV/cell
symmetry	P4/mmm (123)
ΔH_f (0 K)	-0.754	eV/atom

# MoIr2Rh2

A relaxed structure of MoIr2Rh2 (PBE, Alexandria).

Geometry as POSCAR:
```
MoIr2Rh2
1.0
-2.384 2.384 3.778
2.384 -2.384 3.778
2.384 2.384 -3.778
Mo Ir Rh
1 2 2
direct
0.000 0.000 0.000 Mo
0.250 0.750 0.500 Ir
0.750 0.250 0.500 Ir
0.345 0.345 0.000 Rh
0.655 0.655 0.000 Rh
```

Results
DOS at the Fermi energy	7.3	states/eV/cell
symmetry	I4/mmm (139)
ΔH_f (0 K)	0.920	eV/atom

# CaV2Os

A relaxed structure of CaV2Os (PBE, Alexandria).

Geometry as POSCAR:
```
CaV2Os
1.0
4.296 0.000 0.000
-2.148 3.721 0.000
0.000 0.000 10.633
Ca V Os
2 4 2
direct
0.000 0.000 0.000 Ca
0.333 0.667 0.296 Ca
0.000 0.000 0.479 V
0.000 0.000 0.697 V
0.333 0.667 0.595 V
0.667 0.333 0.775 V
0.333 0.667 0.820 Os
0.667 0.333 0.531 Os
```

Results
DOS at the Fermi energy	7.9	states/eV/cell
symmetry	P3m1 (156)
ΔH_f (0 K)	0.004	eV/atom

# Li2HfMgS4

A relaxed structure of Li2HfMgS4 (PBE, Alexandria).

Geometry as POSCAR:
```
Li2HfMgS4
1.0
6.372 0.000 0.000
0.000 3.685 0.000
-2.082 0.000 6.089
Li Hf Mg S
2 1 1 4
direct
0.000 0.000 0.000 Li
0.500 0.500 0.000 Li
0.000 0.500 0.500 Hf
0.500 0.000 0.500 Mg
0.239 0.000 0.742 S
0.249 0.500 0.263 S
0.751 0.500 0.737 S
0.761 0.000 0.258 S
```

Results
formation energy from raw total energies	-1.484	eV per atom
symmetry	P2/m (10)

# SrCuAg2

A relaxed structure of SrCuAg2 (PBE, Alexandria).

Geometry as POSCAR:
```
SrCuAg2
1.0
3.627 0.000 0.000
0.000 3.627 0.000
0.000 0.000 6.735
Sr Cu Ag
1 1 2
direct
0.000 0.000 0.000 Sr
0.500 0.500 0.701 Cu
0.000 0.000 0.527 Ag
0.500 0.500 0.311 Ag
```

Results
DOS at the Fermi energy	1.2	states/eV/cell
symmetry	P4mm (99)
ΔH_f (0 K)	0.014	eV/atom

# Cd2InSe2

A relaxed structure of Cd2InSe2 (PBE, Alexandria).

Geometry as POSCAR:
```
Cd2InSe2
1.0
8.080 0.000 0.000
0.000 8.080 0.000
0.000 0.000 3.763
Cd In Se
4 2 4
direct
0.141 0.359 0.000 Cd
0.359 0.859 0.000 Cd
0.641 0.141 0.000 Cd
0.859 0.641 0.000 Cd
0.000 0.000 0.500 In
0.500 0.500 0.500 In
0.163 0.663 0.500 Se
0.337 0.163 0.500 Se
0.663 0.837 0.500 Se
0.837 0.337 0.500 Se
```

Results
formation energy from raw total energies	-0.174	eV per atom
DOS at the Fermi energy	2.8	states/eV/cell
symmetry	P4/mbm (127)

# Cd3Se

A relaxed structure of Cd3Se (PBE, Alexandria).

Geometry as POSCAR:
```
Cd3Se
1.0
-1.874 3.060 4.407
1.874 -3.060 4.407
1.874 3.060 -4.407
Cd Se
3 1
direct
0.000 0.000 0.000 Cd
0.264 0.764 0.500 Cd
0.736 0.236 0.500 Cd
0.500 0.500 0.000 Se
```

Results
formation energy from raw total energies	-0.037	eV per atom
DOS at the Fermi energy	1.3	states/eV/cell
symmetry	Immm (71)